Entry 1:
Density functional theory data (PBE-GGA) for a geometry-optimized Cs4SiO4 structure.

Geometry as CIF:
```
data_Cs4SiO4
_space_group_name_H-M_alt 'P 42/n'
_space_group_IT_number 86
_cell_length_a 8.4261
_cell_length_b 8.4261
_cell_length_c 6.1304
_cell_angle_alpha 90.00
_cell_angle_beta 90.00
_cell_angle_gamma 90.00
loop_
_space_group_symop_operation_xyz
'x,y,z'
'-x,-y,-z'
'-y,x+1/2,z+1/2'
'y,-x+1/2,-z+1/2'
'-x+1/2,-y+1/2,z'
'x+1/2,y+1/2,-z'
'y+1/2,-x,z+1/2'
'-y+1/2,x,-z+1/2'
loop_
_atom_site_label
_atom_site_type_symbol
_atom_site_fract_x
_atom_site_fract_y
_atom_site_fract_z
Cs1 Cs 0.0303 0.7506 0.1160
Si1 Si 0.2500 0.2500 0.2500
O1 O 0.0875 0.2499 0.4086
```

Results
**Relative energy among the computed polymorphs**: 0.038 eV per atom
**ΔE_f (raw)**: -17.0 eV per formula unit

Entry 2:
Density functional theory data (PBE-GGA) for a geometry-optimized Cs3SiO3 structure.

Geometry as CIF:
```
data_Cs3SiO3
_space_group_name_H-M_alt 'C m c m'
_space_group_IT_number 63
_space_group_name_Hall '-C 2c 2'
_cell_length_a 8.9032
_cell_length_b 15.4137
_cell_length_c 6.1586
_cell_angle_alpha 90.00
_cell_angle_beta 90.00
_cell_angle_gamma 90.00
loop_
_atom_site_label
_atom_site_type_symbol
_atom_site_fract_x
_atom_site_fract_y
_atom_site_fract_z
Cs1 Cs 0.0000 0.1737 0.2500
Cs2 Cs 0.2389 0.4132 0.2500
Si1 Si 0.0000 0.3332 0.7500
O1 O 0.0000 0.2289 0.7500
O2 O 0.1562 0.3855 0.7500
```

Results
**ΔE_f (raw)**: -12.0 eV per formula unit

What is the formula in the second record? Cs3SiO3

What did the first record say?
Density functional theory data (PBE-GGA) for a geometry-optimized Cs4SiO4 structure.

Geometry as CIF:
```
data_Cs4SiO4
_space_group_name_H-M_alt 'P 42/n'
_space_group_IT_number 86
_cell_length_a 8.4261
_cell_length_b 8.4261
_cell_length_c 6.1304
_cell_angle_alpha 90.00
_cell_angle_beta 90.00
_cell_angle_gamma 90.00
loop_
_space_group_symop_operation_xyz
'x,y,z'
'-x,-y,-z'
'-y,x+1/2,z+1/2'
'y,-x+1/2,-z+1/2'
'-x+1/2,-y+1/2,z'
'x+1/2,y+1/2,-z'
'y+1/2,-x,z+1/2'
'-y+1/2,x,-z+1/2'
loop_
_atom_site_label
_atom_site_type_symbol
_atom_site_fract_x
_atom_site_fract_y
_atom_site_fract_z
Cs1 Cs 0.0303 0.7506 0.1160
Si1 Si 0.2500 0.2500 0.2500
O1 O 0.0875 0.2499 0.4086
```

Results
**Relative energy among the computed polymorphs**: 0.038 eV per atom
**ΔE_f (raw)**: -17.0 eV per formula unit

What is the ΔE_f (raw) in the first record? -17.0 eV per formula unit